(i)
VASP calculation (GGA-PBE) on crystalline HfBeCuSb at its relaxed geometry.

Cell: 4.6134 4.6134 4.6134 Å, 60.00 60.00 60.00°
Last column: nearest neighbours and their distance in Å.
Element x y z (fractional)
Be 0.5000 0.5000 0.5000  4 Hf 2.83, 4 Cu 2.83
Sb 0.0000 0.0000 0.0000  4 Hf 2.83, 4 Cu 2.83
Hf 0.2500 0.2500 0.2500  4 Be 2.83, 4 Sb 2.83
Cu 0.7500 0.7500 0.7500  4 Be 2.83, 4 Sb 2.83

SG	F-43m (216)
magnetization	0.0	μB per formula unit



(ii)
VASP calculation (GGA-PBE) on crystalline HfBeCuSb at its relaxed geometry.

Cell: 4.5699 4.5699 4.5699 Å, 60.00 60.00 60.00°
Last column: nearest neighbours and their distance in Å.
Element x y z (fractional)
Be 0.2500 0.2500 0.2500  4 Hf 2.80, 4 Sb 2.80
Cu 0.7500 0.7500 0.7500  4 Hf 2.80, 4 Sb 2.80
Hf 0.5000 0.5000 0.5000  4 Be 2.80, 4 Cu 2.80
Sb 0.0000 0.0000 0.0000  4 Be 2.80, 4 Cu 2.80

SG	F-43m (216)
magnetization	0.0	μB per formula unit



Tell me which of them is the most stable. Sure, it is (ii).